# FePtPb | Alexandria | meta-GGA SCAN | PBEsol geometry
data_FePtPb
_chemical_formula_sum 'Fe1 Pt1 Pb1'
_cell_length_a 4.1582
_cell_length_b 4.1582
_cell_length_c 3.7034
_cell_angle_alpha 90.00
_cell_angle_beta 90.00
_cell_angle_gamma 120.00
_symmetry_space_group_name_H-M 'P 3 m 1'
_symmetry_Int_Tables_number 156
_symmetry_space_group_name_Hall 'P 3 -2"'
loop_
_atom_site_label
_atom_site_type_symbol
_atom_site_fract_x
_atom_site_fract_y
_atom_site_fract_z
_atom_site_occupancy
Fe1 Fe 0.0000 0.0000 0.0000 1
Pt1 Pt 0.3333 0.6667 0.8380 1
Pb1 Pb 0.6667 0.3333 0.4145 1
# Energy relative to the lowest polymorph listed for this composition: 222 meV/atom

# FePtPb2 | Alexandria | meta-GGA SCAN | PBEsol geometry
data_FePtPb2
_chemical_formula_sum 'Fe1 Pt1 Pb2'
_cell_length_a 3.2619
_cell_length_b 3.2619
_cell_length_c 7.9490
_cell_angle_alpha 90.00
_cell_angle_beta 90.00
_cell_angle_gamma 90.00
_symmetry_space_group_name_H-M 'P 4 m m'
_symmetry_Int_Tables_number 99
_symmetry_space_group_name_Hall 'P 4 -2'
loop_
_atom_site_label
_atom_site_type_symbol
_atom_site_fract_x
_atom_site_fract_y
_atom_site_fract_z
_atom_site_occupancy
Fe1 Fe 0.0000 0.0000 0.0000 1
Pt1 Pt 0.5000 0.5000 0.8586 1
Pb1 Pb 0.0000 0.0000 0.6158 1
Pb2 Pb 0.5000 0.5000 0.2368 1
# VASP energy: -59.96 eV per atom

# FePtPb | Alexandria | meta-GGA SCAN | PBEsol geometry
data_FePtPb
_chemical_formula_sum 'Fe4 Pt4 Pb4'
_cell_length_a 6.1960
_cell_length_b 6.1960
_cell_length_c 6.1960
_cell_angle_alpha 90.00
_cell_angle_beta 90.00
_cell_angle_gamma 90.00
_symmetry_space_group_name_H-M 'F -4 3 m'
_symmetry_Int_Tables_number 216
_symmetry_space_group_name_Hall 'F -4 2 3'
loop_
_atom_site_label
_atom_site_type_symbol
_atom_site_fract_x
_atom_site_fract_y
_atom_site_fract_z
_atom_site_occupancy
Fe1 Fe 0.0000 0.0000 0.0000 1
Pt1 Pt 0.2500 0.2500 0.2500 1
Pb1 Pb 0.0000 0.0000 0.5000 1
# Energy relative to the lowest polymorph listed for this composition: 0 meV/atom

# RbYFePb2 | Alexandria | meta-GGA SCAN | PBEsol geometry
data_RbYFePb2
_chemical_formula_sum 'Rb1 Y1 Fe1 Pb2'
_cell_length_a 5.1855
_cell_length_b 5.1855
_cell_length_c 5.2433
_cell_angle_alpha 90.00
_cell_angle_beta 90.00
_cell_angle_gamma 90.00
_symmetry_space_group_name_H-M 'P 4/m m m'
_symmetry_Int_Tables_number 123
_symmetry_space_group_name_Hall '-P 4 2'
loop_
_atom_site_label
_atom_site_type_symbol
_atom_site_fract_x
_atom_site_fract_y
_atom_site_fract_z
_atom_site_occupancy
Rb1 Rb 0.0000 0.0000 0.0000 1
Y1 Y 0.5000 0.5000 0.0000 1
Fe1 Fe 0.0000 0.0000 0.5000 1
Pb1 Pb 0.0000 0.5000 0.5000 1
# VASP energy: -43.25 eV per atom

# FeRe3Pb | Alexandria | meta-GGA SCAN | PBEsol geometry
data_FeRe3Pb
_chemical_formula_sum 'Fe1 Re3 Pb1'
_cell_length_a 4.8472
_cell_length_b 4.8472
_cell_length_c 4.8472
_cell_angle_alpha 90.00
_cell_angle_beta 90.00
_cell_angle_gamma 90.00
_symmetry_space_group_name_H-M 'P m -3 m'
_symmetry_Int_Tables_number 221
_symmetry_space_group_name_Hall '-P 4 2 3'
loop_
_atom_site_label
_atom_site_type_symbol
_atom_site_fract_x
_atom_site_fract_y
_atom_site_fract_z
_atom_site_occupancy
Fe1 Fe 0.0000 0.0000 0.0000 1
Re1 Re 0.0000 0.5000 0.5000 1
Pb1 Pb 0.5000 0.5000 0.5000 1
# VASP energy: -57.86 eV per atom

# FeRhPb2 | Alexandria | meta-GGA SCAN | PBEsol geometry
data_FeRhPb2
_chemical_formula_sum 'Fe1 Rh1 Pb2'
_cell_length_a 3.1829
_cell_length_b 3.1829
_cell_length_c 7.9949
_cell_angle_alpha 90.00
_cell_angle_beta 90.00
_cell_angle_gamma 90.00
_symmetry_space_group_name_H-M 'P 4 m m'
_symmetry_Int_Tables_number 99
_symmetry_space_group_name_Hall 'P 4 -2'
loop_
_atom_site_label
_atom_site_type_symbol
_atom_site_fract_x
_atom_site_fract_y
_atom_site_fract_z
_atom_site_occupancy
Fe1 Fe 0.0000 0.0000 0.0000 1
Rh1 Rh 0.5000 0.5000 0.1478 1
Pb1 Pb 0.0000 0.0000 0.3857 1
Pb2 Pb 0.5000 0.5000 0.7669 1
# Energy relative to the lowest polymorph listed for this composition: 0 meV/atom

Calculated magnetic moment in order - 3.22 3.37 15.33 2.54 2.43 3.73 μB per cell